# 1
VASP calculation (GGA-PBE) on crystalline HoEr2Mg6 at its relaxed geometry.

a b c (Å): 9.034 9.034 3.267
angles (deg): 90.00 90.00 120.00
Fractional positions:
Ho (0.000, 0.000, 0.000)
Er (0.333, 0.667, 0.000)
Er (0.667, 0.333, 0.000)
Mg (0.000, 0.334, 0.500)
Mg (0.000, 0.666, 0.500)
Mg (0.334, 0.000, 0.500)
Mg (0.334, 0.334, 0.500)
Mg (0.666, 0.000, 0.500)
Mg (0.666, 0.666, 0.500)

For the magnetization, the calculation gives 0.00 μB per atom. The formation energy is -52.8 kJ/mol of formula units. The space group is P6/mmm (191).

# 2
VASP calculation (GGA-PBE) on crystalline Ho3Er5Mg at its relaxed geometry.

a b c (Å): 9.340 9.340 9.626
angles (deg): 120.07 120.07 74.84
Fractional positions:
Ho (0.000, 0.000, 0.000)
Ho (0.014, 0.014, 0.327)
Ho (0.481, 0.481, 0.142)
Ho (0.500, 0.500, 0.500)
Ho (0.519, 0.519, 0.858)
Ho (0.986, 0.986, 0.673)
Er (0.093, 0.600, 0.748)
Er (0.226, 0.226, 0.747)
Er (0.241, 0.759, 0.500)
Er (0.281, 0.281, 0.471)
Er (0.400, 0.907, 0.252)
Er (0.600, 0.093, 0.748)
Er (0.719, 0.719, 0.529)
Er (0.759, 0.241, 0.500)
Er (0.774, 0.774, 0.253)
Er (0.907, 0.400, 0.252)
Mg (0.248, 0.248, 0.107)
Mg (0.752, 0.752, 0.893)

For the magnetization, the calculation gives 0.00 μB per atom. The formation energy is 452.3 kJ/mol of formula units. The space group is C2/m (12).

# 3
VASP calculation (GGA-PBE) on crystalline HoErMgMn at its relaxed geometry.

a b c (Å): 7.272 7.272 7.272
angles (deg): 90.00 90.00 90.00
Fractional positions:
Ho (0.000, 0.000, 0.000)
Ho (0.000, 0.500, 0.500)
Ho (0.500, 0.000, 0.500)
Ho (0.500, 0.500, 0.000)
Er (0.000, 0.000, 0.500)
Er (0.000, 0.500, 0.000)
Er (0.500, 0.000, 0.000)
Er (0.500, 0.500, 0.500)
Mg (0.250, 0.250, 0.750)
Mg (0.250, 0.750, 0.250)
Mg (0.750, 0.250, 0.250)
Mg (0.750, 0.750, 0.750)
Mn (0.250, 0.250, 0.250)
Mn (0.250, 0.750, 0.750)
Mn (0.750, 0.250, 0.750)
Mn (0.750, 0.750, 0.250)

For the magnetization, the calculation gives 0.79 μB per atom. The formation energy is 36.4 kJ/mol of formula units. The space group is F-43m (216).

# 4
VASP calculation (GGA-PBE) on crystalline Nd4Ho2ErMg at its relaxed geometry.

a b c (Å): 5.083 5.082 9.920
angles (deg): 90.00 90.04 90.00
Fractional positions:
Nd (0.000, 0.000, 0.246)
Nd (0.000, 0.000, 0.754)
Nd (0.499, 0.500, 0.754)
Nd (0.501, 0.500, 0.246)
Ho (0.000, 0.500, 0.500)
Ho (0.500, 0.000, 0.000)
Er (0.500, 0.000, 0.500)
Mg (0.000, 0.500, 0.000)

For the magnetization, the calculation gives 0.00 μB per atom. The formation energy is 5.4 kJ/mol of formula units. The space group is P2/m (10).

# 5
VASP calculation (GGA-PBE) on crystalline Nd2Ho6Er3Mg at its relaxed geometry.

a b c (Å): 6.098 6.098 11.696
angles (deg): 95.01 95.01 120.04
Fractional positions:
Nd (0.166, 0.834, 0.000)
Nd (0.834, 0.166, 0.000)
Ho (0.085, 0.416, 0.747)
Ho (0.252, 0.252, 0.253)
Ho (0.416, 0.085, 0.747)
Ho (0.584, 0.915, 0.253)
Ho (0.748, 0.748, 0.747)
Ho (0.915, 0.584, 0.253)
Er (0.000, 0.000, 0.500)
Er (0.334, 0.666, 0.500)
Er (0.666, 0.334, 0.500)
Mg (0.500, 0.500, 0.000)

For the magnetization, the calculation gives 0.00 μB per atom. The formation energy is 25.5 kJ/mol of formula units. The space group is C2/m (12).

# 6
VASP calculation (GGA-PBE) on crystalline Nd2HoEr4Mg at its relaxed geometry.

a b c (Å): 4.952 4.964 10.092
angles (deg): 90.00 90.00 90.00
Fractional positions:
Nd (0.000, 0.000, 0.000)
Nd (0.500, 0.500, 0.500)
Ho (0.000, 0.000, 0.500)
Er (0.000, 0.500, 0.250)
Er (0.000, 0.500, 0.750)
Er (0.500, 0.000, 0.250)
Er (0.500, 0.000, 0.750)
Mg (0.500, 0.500, 0.000)

For the magnetization, the calculation gives 0.00 μB per atom. The formation energy is 25.5 kJ/mol of formula units. The space group is Pmmm (47).

# 7
VASP calculation (GGA-PBE) on crystalline HoErMgNi at its relaxed geometry.

a b c (Å): 3.420 3.420 7.857
angles (deg): 90.00 90.00 90.00
Fractional positions:
Ho (0.000, 0.000, 0.000)
Er (0.000, 0.000, 0.595)
Mg (0.500, 0.500, 0.299)
Ni (0.500, 0.500, 0.796)

For the magnetization, the calculation gives 0.00 μB per atom. The formation energy is -102.6 kJ/mol of formula units. The space group is P4mm (99).

# 8
VASP calculation (GGA-PBE) on crystalline HoErMgNi at its relaxed geometry.

a b c (Å): 7.089 7.089 7.089
angles (deg): 90.00 90.00 90.00
Fractional positions:
Ho (0.000, 0.000, 0.000)
Ho (0.000, 0.500, 0.500)
Ho (0.500, 0.000, 0.500)
Ho (0.500, 0.500, 0.000)
Er (0.000, 0.000, 0.500)
Er (0.000, 0.500, 0.000)
Er (0.500, 0.000, 0.000)
Er (0.500, 0.500, 0.500)
Mg (0.250, 0.250, 0.250)
Mg (0.250, 0.750, 0.750)
Mg (0.750, 0.250, 0.750)
Mg (0.750, 0.750, 0.250)
Ni (0.250, 0.250, 0.750)
Ni (0.250, 0.750, 0.250)
Ni (0.750, 0.250, 0.250)
Ni (0.750, 0.750, 0.750)

For the magnetization, the calculation gives 0.00 μB per atom. The formation energy is -49.3 kJ/mol of formula units. The space group is F-43m (216).

# 9
VASP calculation (GGA-PBE) on crystalline HoErMgOs at its relaxed geometry.

a b c (Å): 3.387 3.387 8.387
angles (deg): 90.00 90.00 90.00
Fractional positions:
Ho (0.000, 0.000, 0.000)
Er (0.000, 0.000, 0.608)
Mg (0.500, 0.500, 0.305)
Os (0.500, 0.500, 0.803)

For the magnetization, the calculation gives 0.00 μB per atom. The formation energy is -90.4 kJ/mol of formula units. The space group is P4mm (99).

# 10
VASP calculation (GGA-PBE) on crystalline HoErMgOs at its relaxed geometry.

a b c (Å): 7.019 7.019 7.019
angles (deg): 90.00 90.00 90.00
Fractional positions:
Ho (0.000, 0.000, 0.000)
Ho (0.000, 0.500, 0.500)
Ho (0.500, 0.000, 0.500)
Ho (0.500, 0.500, 0.000)
Er (0.000, 0.000, 0.500)
Er (0.000, 0.500, 0.000)
Er (0.500, 0.000, 0.000)
Er (0.500, 0.500, 0.500)
Mg (0.250, 0.250, 0.250)
Mg (0.250, 0.750, 0.750)
Mg (0.750, 0.250, 0.750)
Mg (0.750, 0.750, 0.250)
Os (0.250, 0.250, 0.750)
Os (0.250, 0.750, 0.250)
Os (0.750, 0.250, 0.250)
Os (0.750, 0.750, 0.750)

For the magnetization, the calculation gives 0.00 μB per atom. The formation energy is -65.8 kJ/mol of formula units. The space group is F-43m (216).

# 11
VASP calculation (GGA-PBE) on crystalline HoErMgPa at its relaxed geometry.

a b c (Å): 7.623 7.623 7.623
angles (deg): 90.00 90.00 90.00
Fractional positions:
Ho (0.000, 0.000, 0.000)
Ho (0.000, 0.500, 0.500)
Ho (0.500, 0.000, 0.500)
Ho (0.500, 0.500, 0.000)
Er (0.000, 0.000, 0.500)
Er (0.000, 0.500, 0.000)
Er (0.500, 0.000, 0.000)
Er (0.500, 0.500, 0.500)
Mg (0.250, 0.250, 0.250)
Mg (0.250, 0.750, 0.750)
Mg (0.750, 0.250, 0.750)
Mg (0.750, 0.750, 0.250)
Pa (0.250, 0.250, 0.750)
Pa (0.250, 0.750, 0.250)
Pa (0.750, 0.250, 0.250)
Pa (0.750, 0.750, 0.750)

For the magnetization, the calculation gives 0.59 μB per atom. The formation energy is 133.1 kJ/mol of formula units. The space group is F-43m (216).

# 12
VASP calculation (GGA-PBE) on crystalline HoErMgPb at its relaxed geometry.

a b c (Å): 7.545 7.545 7.545
angles (deg): 90.00 90.00 90.00
Fractional positions:
Ho (0.000, 0.000, 0.000)
Ho (0.000, 0.500, 0.500)
Ho (0.500, 0.000, 0.500)
Ho (0.500, 0.500, 0.000)
Er (0.000, 0.000, 0.500)
Er (0.000, 0.500, 0.000)
Er (0.500, 0.000, 0.000)
Er (0.500, 0.500, 0.500)
Mg (0.250, 0.250, 0.750)
Mg (0.250, 0.750, 0.250)
Mg (0.750, 0.250, 0.250)
Mg (0.750, 0.750, 0.750)
Pb (0.250, 0.250, 0.250)
Pb (0.250, 0.750, 0.750)
Pb (0.750, 0.250, 0.750)
Pb (0.750, 0.750, 0.250)

For the magnetization, the calculation gives 0.00 μB per atom. The formation energy is -95.7 kJ/mol of formula units. The space group is F-43m (216).

# 13
VASP calculation (GGA-PBE) on crystalline HoErMg2Pd4 at its relaxed geometry.

a b c (Å): 8.238 8.238 8.238
angles (deg): 33.51 33.51 33.51
Fractional positions:
Ho (0.000, 0.000, 0.000)
Er (0.500, 0.500, 0.500)
Mg (0.250, 0.250, 0.250)
Mg (0.750, 0.750, 0.750)
Pd (0.125, 0.125, 0.125)
Pd (0.376, 0.376, 0.376)
Pd (0.624, 0.624, 0.624)
Pd (0.875, 0.875, 0.875)

For the magnetization, the calculation gives 0.00 μB per atom. The formation energy is -636.8 kJ/mol of formula units. The space group is R-3m (166).

# 14
VASP calculation (GGA-PBE) on crystalline PmHoErMg at its relaxed geometry.

a b c (Å): 7.804 7.804 7.804
angles (deg): 90.00 90.00 90.00
Fractional positions:
Pm (0.000, 0.000, 0.000)
Pm (0.000, 0.500, 0.500)
Pm (0.500, 0.000, 0.500)
Pm (0.500, 0.500, 0.000)
Ho (0.000, 0.000, 0.500)
Ho (0.000, 0.500, 0.000)
Ho (0.500, 0.000, 0.000)
Ho (0.500, 0.500, 0.500)
Er (0.250, 0.250, 0.250)
Er (0.250, 0.750, 0.750)
Er (0.750, 0.250, 0.750)
Er (0.750, 0.750, 0.250)
Mg (0.250, 0.250, 0.750)
Mg (0.250, 0.750, 0.250)
Mg (0.750, 0.250, 0.250)
Mg (0.750, 0.750, 0.750)

For the magnetization, the calculation gives 0.00 μB per atom. The formation energy is 13.7 kJ/mol of formula units. The space group is F-43m (216).

# 15
VASP calculation (GGA-PBE) on crystalline Pm2Ho4ErMg at its relaxed geometry.

a b c (Å): 4.965 4.952 10.066
angles (deg): 90.00 90.04 90.00
Fractional positions:
Pm (0.000, 0.000, 0.000)
Pm (0.500, 0.500, 0.500)
Ho (0.000, 0.500, 0.250)
Ho (0.000, 0.500, 0.750)
Ho (0.500, 0.000, 0.250)
Ho (0.500, 0.000, 0.750)
Er (0.000, 0.000, 0.500)
Mg (0.500, 0.500, 0.000)

For the magnetization, the calculation gives 0.00 μB per atom. The formation energy is 22.3 kJ/mol of formula units. The space group is P2/m (10).

# 16
VASP calculation (GGA-PBE) on crystalline Pm6Ho2ErMg at its relaxed geometry.

a b c (Å): 8.793 8.793 9.531
angles (deg): 94.01 94.01 116.50
Fractional positions:
Pm (0.001, 0.566, 0.193)
Pm (0.123, 0.764, 0.551)
Pm (0.236, 0.877, 0.949)
Pm (0.294, 0.500, 0.389)
Pm (0.434, 0.999, 0.307)
Pm (0.500, 0.294, 0.889)
Pm (0.500, 0.706, 0.111)
Pm (0.566, 0.001, 0.693)
Pm (0.706, 0.500, 0.611)
Pm (0.764, 0.123, 0.051)
Pm (0.877, 0.236, 0.449)
Pm (0.999, 0.434, 0.807)
Ho (0.200, 0.299, 0.051)
Ho (0.299, 0.200, 0.551)
Ho (0.701, 0.800, 0.449)
Ho (0.800, 0.701, 0.949)
Er (0.022, 0.978, 0.250)
Er (0.978, 0.022, 0.750)
Mg (0.410, 0.590, 0.750)
Mg (0.590, 0.410, 0.250)

For the magnetization, the calculation gives 0.00 μB per atom. The formation energy is 114.9 kJ/mol of formula units. The space group is C2/c (15).

# 17
VASP calculation (GGA-PBE) on crystalline Pm2Ho2ErMg5 at its relaxed geometry.

a b c (Å): 10.590 10.590 5.061
angles (deg): 90.00 90.00 90.00
Fractional positions:
Pm (0.177, 0.323, 0.000)
Pm (0.323, 0.823, 0.000)
Pm (0.677, 0.177, 0.000)
Pm (0.823, 0.677, 0.000)
Ho (0.120, 0.620, 0.000)
Ho (0.380, 0.120, 0.000)
Ho (0.620, 0.880, 0.000)
Ho (0.880, 0.380, 0.000)
Er (0.000, 0.000, 0.000)
Er (0.500, 0.500, 0.000)
Mg (0.000, 0.500, 0.500)
Mg (0.069, 0.802, 0.500)
Mg (0.198, 0.069, 0.500)
Mg (0.302, 0.569, 0.500)
Mg (0.431, 0.302, 0.500)
Mg (0.500, 0.000, 0.500)
Mg (0.569, 0.698, 0.500)
Mg (0.698, 0.431, 0.500)
Mg (0.802, 0.931, 0.500)
Mg (0.931, 0.198, 0.500)

For the magnetization, the calculation gives 0.00 μB per atom. The formation energy is 42.6 kJ/mol of formula units. The space group is P4/mbm (127).

# 18
VASP calculation (GGA-PBE) on crystalline Pm6Ho2Er3Mg at its relaxed geometry.

a b c (Å): 6.190 6.190 11.708
angles (deg): 95.07 95.07 120.02
Fractional positions:
Pm (0.083, 0.415, 0.249)
Pm (0.250, 0.250, 0.750)
Pm (0.415, 0.083, 0.249)
Pm (0.585, 0.917, 0.751)
Pm (0.750, 0.750, 0.250)
Pm (0.917, 0.585, 0.751)
Ho (0.333, 0.667, 0.000)
Ho (0.667, 0.333, 0.000)
Er (0.166, 0.834, 0.500)
Er (0.500, 0.500, 0.500)
Er (0.834, 0.166, 0.500)
Mg (0.000, 0.000, 0.000)

For the magnetization, the calculation gives 0.00 μB per atom. The formation energy is 25.4 kJ/mol of formula units. The space group is C2/m (12).

# 19
VASP calculation (GGA-PBE) on crystalline Pm4HoEr2Mg at its relaxed geometry.

a b c (Å): 5.049 5.049 9.902
angles (deg): 90.00 90.00 90.00
Fractional positions:
Pm (0.000, 0.500, 0.246)
Pm (0.000, 0.500, 0.754)
Pm (0.500, 0.000, 0.246)
Pm (0.500, 0.000, 0.754)
Ho (0.000, 0.000, 0.500)
Er (0.000, 0.000, 0.000)
Er (0.500, 0.500, 0.500)
Mg (0.500, 0.500, 0.000)

For the magnetization, the calculation gives 0.00 μB per atom. The formation energy is 6.4 kJ/mol of formula units. The space group is P4/mmm (123).

# 20
VASP calculation (GGA-PBE) on crystalline PmHoErMg at its relaxed geometry.

a b c (Å): 3.614 3.614 9.131
angles (deg): 90.00 90.00 90.00
Fractional positions:
Pm (0.000, 0.000, 0.000)
Ho (0.500, 0.500, 0.728)
Er (0.500, 0.500, 0.271)
Mg (0.000, 0.000, 0.498)

For the magnetization, the calculation gives 0.00 μB per atom. The formation energy is -9.8 kJ/mol of formula units. The space group is P4mm (99).